(1)
AcTm | PBE-GGA | optimized geometry

abc: 5.2324 5.2324 5.2324
angles: 60.00 60.00 60.00
With the nearest neighbours (Å) after each atom.
Atoms (fractional coordinates):
Ac 0.0000 0.0000 0.0000  4 Tm 3.20
Tm 0.7500 0.7500 0.7500  4 Ac 3.20

## Properties
For the theoretical density, the calculation gives 6.5 Mg/m³. The energy relative to the lowest polymorph listed for this composition comes out at 3.30 eV/f.u. The calculation puts the total magnetic moment at 0.04 μB per formula unit. The calculation puts the formation energy at 1.78 eV/atom. The calculation puts the calculated total energy at -2.514 eV/atom.

(2)
AcTm | PBE-GGA | optimized geometry

abc: 3.7964 3.7964 5.9384
angles: 90.00 90.00 120.00
With the nearest neighbours (Å) after each atom.
Atoms (fractional coordinates):
Ac 0.0000 0.0000 0.0000  6 Tm 3.69, 6 Ac 3.80
Tm 0.6667 0.3333 0.5000  6 Ac 3.69, 6 Tm 3.80

## Properties
For the theoretical density, the calculation gives 8.9 Mg/m³. The energy relative to the lowest polymorph listed for this composition comes out at 0.00 eV/f.u. The calculation puts the total magnetic moment at 0.03 μB per formula unit. The calculation puts the formation energy at 0.12 eV/atom. The calculation puts the calculated total energy at -4.166 eV/atom.

(3)
AcTmW | PBE-GGA | optimized geometry

abc: 5.0584 5.0584 5.0584
angles: 60.00 60.00 60.00
With the nearest neighbours (Å) after each atom.
Atoms (fractional coordinates):
Ac 0.0000 0.0000 0.0000  4 Tm 3.10
Tm 0.2500 0.2500 0.2500  4 W 3.10, 4 Ac 3.10
W 0.5000 0.5000 0.5000  4 Tm 3.10

## Properties
For the theoretical density, the calculation gives 10.5 Mg/m³. The calculation puts the total magnetic moment at 1.81 μB per formula unit. The calculation puts the formation energy at 1.46 eV/atom. The calculation puts the calculated total energy at -5.725 eV/atom.

(4)
AcTmZr | PBE-GGA | optimized geometry

abc: 4.4794 4.4794 5.6428
angles: 90.00 90.00 90.00
With the nearest neighbours (Å) after each atom.
Atoms (fractional coordinates):
Ac 0.0000 0.0000 0.0000  4 Zr 3.17
Tm 0.5000 0.5000 0.5000  2 Zr 2.82
Zr 0.5000 0.5000 0.0000  2 Tm 2.82

## Properties
For the theoretical density, the calculation gives 7.1 Mg/m³. The energy relative to the lowest polymorph listed for this composition comes out at 0.00 eV/f.u. The calculation puts the total magnetic moment at 0.02 μB per formula unit. The calculation puts the formation energy at 0.87 eV/atom. The calculation puts the calculated total energy at -4.844 eV/atom.

(5)
AcTmZr | PBE-GGA | optimized geometry

abc: 5.3727 5.3727 5.3727
angles: 60.00 60.00 60.00
With the nearest neighbours (Å) after each atom.
Atoms (fractional coordinates):
Ac 0.0000 0.0000 0.0000  4 Tm 3.29
Tm 0.2500 0.2500 0.2500  4 Zr 3.29, 4 Ac 3.29
Zr 0.5000 0.5000 0.5000  4 Tm 3.29

## Properties
For the theoretical density, the calculation gives 7.4 Mg/m³. The energy relative to the lowest polymorph listed for this composition comes out at 0.20 eV/f.u. The calculation puts the total magnetic moment at 2.00 μB per formula unit. The calculation puts the formation energy at 0.93 eV/atom. The calculation puts the calculated total energy at -4.776 eV/atom.

(6)
AcTmZr | PBE-GGA | optimized geometry

abc: 5.3959 5.3959 5.3959
angles: 60.00 60.00 60.00
With the nearest neighbours (Å) after each atom.
Atoms (fractional coordinates):
Ac 0.0000 0.0000 0.0000  4 Zr 3.30, 4 Tm 3.30
Tm 0.7500 0.7500 0.7500  4 Ac 3.30
Zr 0.2500 0.2500 0.2500  4 Ac 3.30

## Properties
For the theoretical density, the calculation gives 7.3 Mg/m³. The energy relative to the lowest polymorph listed for this composition comes out at 0.76 eV/f.u. The calculation puts the total magnetic moment at 1.43 μB per formula unit. The calculation puts the formation energy at 1.12 eV/atom. The calculation puts the calculated total energy at -4.590 eV/atom.

(7)
Ac2U | PBE-GGA | optimized geometry

abc: 9.6552 9.6552 9.6552
angles: 60.00 60.00 60.00
With the nearest neighbours (Å) after each atom.
Atoms (fractional coordinates):
Ac 0.0000 0.0000 0.0000  2 U 2.96
Ac 0.0000 0.0000 0.5000  2 U 2.96
Ac 0.0000 0.5000 0.0000  2 U 2.96
Ac 0.5000 0.0000 0.0000  2 U 2.96
U 0.1250 0.1250 0.1250  4 Ac 2.96
U 0.8750 0.8750 0.8750  4 Ac 2.96

## Properties
For the theoretical density, the calculation gives 3.6 Mg/m³. The calculation puts the total magnetic moment at 3.07 μB per formula unit. The calculation puts the formation energy at 2.54 eV/atom. The calculation puts the calculated total energy at -3.961 eV/atom.

(8)
AcUW | PBE-GGA | optimized geometry

abc: 4.8420 4.8420 4.8420
angles: 60.00 60.00 60.00
With the nearest neighbours (Å) after each atom.
Atoms (fractional coordinates):
Ac 0.0000 0.0000 0.0000  4 U 2.97
U 0.2500 0.2500 0.2500  4 W 2.97, 4 Ac 2.97
W 0.5000 0.5000 0.5000  4 U 2.97

## Properties
For the theoretical density, the calculation gives 13.4 Mg/m³. The calculation puts the total magnetic moment at 0.76 μB per formula unit. The calculation puts the formation energy at 1.57 eV/atom. The calculation puts the calculated total energy at -7.882 eV/atom.

(9)
AcUZn | PBE-GGA | optimized geometry

abc: 4.8986 4.8986 4.8986
angles: 60.00 60.00 60.00
With the nearest neighbours (Å) after each atom.
Atoms (fractional coordinates):
Ac 0.0000 0.0000 0.0000  4 Zn 3.00
U 0.5000 0.5000 0.5000  4 Zn 3.00
Zn 0.2500 0.2500 0.2500  4 U 3.00, 4 Ac 3.00

## Properties
For the theoretical density, the calculation gives 10.6 Mg/m³. The energy relative to the lowest polymorph listed for this composition comes out at 0.00 eV/f.u. The calculation puts the total magnetic moment at 2.99 μB per formula unit. The calculation puts the formation energy at 0.78 eV/atom. The calculation puts the calculated total energy at -4.774 eV/atom.

(10)
AcZrU | PBE-GGA | optimized geometry

abc: 5.2179 5.2179 5.2179
angles: 60.00 60.00 60.00
With the nearest neighbours (Å) after each atom.
Atoms (fractional coordinates):
Ac 0.0000 0.0000 0.0000  4 U 3.20
Zr 0.5000 0.5000 0.5000  4 U 3.20
U 0.2500 0.2500 0.2500  4 Zr 3.20, 4 Ac 3.20

## Properties
For the theoretical density, the calculation gives 9.2 Mg/m³. The energy relative to the lowest polymorph listed for this composition comes out at 0.00 eV/f.u. The calculation puts the total magnetic moment at 5.00 μB per formula unit. The calculation puts the formation energy at 1.31 eV/atom. The calculation puts the calculated total energy at -6.671 eV/atom.

(11)
AcW | PBE-GGA | optimized geometry

abc: 4.7380 4.7380 4.7380
angles: 60.00 60.00 60.00
With the nearest neighbours (Å) after each atom.
Atoms (fractional coordinates):
Ac 0.0000 0.0000 0.0000  4 W 2.90
W 0.7500 0.7500 0.7500  4 Ac 2.90

## Properties
For the theoretical density, the calculation gives 9.1 Mg/m³. The energy relative to the lowest polymorph listed for this composition comes out at 2.37 eV/f.u. The calculation puts the total magnetic moment at 1.58 μB per formula unit. The calculation puts the formation energy at 2.75 eV/atom. The calculation puts the calculated total energy at -5.784 eV/atom.

(12)
AcW2 | PBE-GGA | optimized geometry

abc: 9.9800 9.9800 9.9800
angles: 60.00 60.00 60.00
With the nearest neighbours (Å) after each atom.
Atoms (fractional coordinates):
Ac 0.1250 0.1250 0.1250  4 W 3.06
Ac 0.8750 0.8750 0.8750  4 W 3.06
W 0.0000 0.0000 0.0000  2 Ac 3.06
W 0.0000 0.0000 0.5000  2 Ac 3.06
W 0.0000 0.5000 0.0000  2 Ac 3.06
W 0.5000 0.0000 0.0000  2 Ac 3.06

## Properties
For the theoretical density, the calculation gives 2.8 Mg/m³. The calculation puts the total magnetic moment at 9.01 μB per formula unit. The calculation puts the formation energy at 4.80 eV/atom. The calculation puts the calculated total energy at -5.205 eV/atom.

(13)
AcW | PBE-GGA | optimized geometry

abc: 3.3080 3.3080 5.3287
angles: 90.00 90.00 120.00
With the nearest neighbours (Å) after each atom.
Atoms (fractional coordinates):
Ac 0.0000 0.0000 0.0000  6 W 3.28, 6 Ac 3.31
W 0.6667 0.3333 0.5000  6 Ac 3.28, 6 W 3.31

## Properties
For the theoretical density, the calculation gives 13.5 Mg/m³. The energy relative to the lowest polymorph listed for this composition comes out at 0.00 eV/f.u. The calculation puts the total magnetic moment at 0.67 μB per formula unit. The calculation puts the formation energy at 1.57 eV/atom. The calculation puts the calculated total energy at -6.967 eV/atom.

(14)
AcW | PBE-GGA | optimized geometry

abc: 4.4066 4.4066 4.4066
angles: 60.00 60.00 60.00
With the nearest neighbours (Å) after each atom.
Atoms (fractional coordinates):
Ac 0.0000 0.0000 0.0000  6 W 3.12
W 0.5000 0.5000 0.5000  6 Ac 3.12

## Properties
For the theoretical density, the calculation gives 11.3 Mg/m³. The energy relative to the lowest polymorph listed for this composition comes out at 0.93 eV/f.u. The calculation puts the total magnetic moment at 2.02 μB per formula unit. The calculation puts the formation energy at 2.03 eV/atom. The calculation puts the calculated total energy at -6.500 eV/atom.

(15)
AcYW | PBE-GGA | optimized geometry

abc: 5.0346 5.0346 5.0346
angles: 60.00 60.00 60.00
With the nearest neighbours (Å) after each atom.
Atoms (fractional coordinates):
Ac 0.0000 0.0000 0.0000  4 W 3.08
Y 0.5000 0.5000 0.5000  4 W 3.08
W 0.7500 0.7500 0.7500  4 Ac 3.08, 4 Y 3.08

## Properties
For the theoretical density, the calculation gives 9.2 Mg/m³. The calculation puts the total magnetic moment at 0.02 μB per formula unit. The calculation puts the formation energy at 0.87 eV/atom. The calculation puts the calculated total energy at -6.978 eV/atom.

(16)
AcZnW | PBE-GGA | optimized geometry

abc: 5.0502 5.0502 5.0502
angles: 60.00 60.00 60.00
With the nearest neighbours (Å) after each atom.
Atoms (fractional coordinates):
Ac 0.0000 0.0000 0.0000  4 Zn 3.09, 4 W 3.09
Zn 0.2500 0.2500 0.2500  4 Ac 3.09
W 0.7500 0.7500 0.7500  4 Ac 3.09

## Properties
For the theoretical density, the calculation gives 8.7 Mg/m³. The energy relative to the lowest polymorph listed for this composition comes out at 1.73 eV/f.u. The calculation puts the total magnetic moment at 3.00 μB per formula unit. The calculation puts the formation energy at 1.65 eV/atom. The calculation puts the calculated total energy at -4.460 eV/atom.

(17)
AcZnW | PBE-GGA | optimized geometry

abc: 4.8027 4.8027 4.8027
angles: 60.00 60.00 60.00
With the nearest neighbours (Å) after each atom.
Atoms (fractional coordinates):
Ac 0.0000 0.0000 0.0000  4 Zn 2.94
Zn 0.2500 0.2500 0.2500  4 Ac 2.94, 4 W 2.94
W 0.5000 0.5000 0.5000  4 Zn 2.94

## Properties
For the theoretical density, the calculation gives 10.1 Mg/m³. The energy relative to the lowest polymorph listed for this composition comes out at 0.00 eV/f.u. The calculation puts the total magnetic moment at 2.02 μB per formula unit. The calculation puts the formation energy at 1.07 eV/atom. The calculation puts the calculated total energy at -5.038 eV/atom.

(18)
AcZrW | PBE-GGA | optimized geometry

abc: 4.8944 4.8944 4.8944
angles: 60.00 60.00 60.00
With the nearest neighbours (Å) after each atom.
Atoms (fractional coordinates):
Ac 0.0000 0.0000 0.0000  4 W 3.00
Zr 0.5000 0.5000 0.5000  4 W 3.00
W 0.7500 0.7500 0.7500  4 Ac 3.00, 4 Zr 3.00

## Properties
For the theoretical density, the calculation gives 10.1 Mg/m³. The energy relative to the lowest polymorph listed for this composition comes out at 0.00 eV/f.u. The calculation puts the total magnetic moment at 0.01 μB per formula unit. The calculation puts the formation energy at 0.77 eV/atom. The calculation puts the calculated total energy at -7.764 eV/atom.

(19)
AcZrW | PBE-GGA | optimized geometry

abc: 5.2048 5.2048 9.3065
angles: 90.00 90.00 120.00
With the nearest neighbours (Å) after each atom.
Atoms (fractional coordinates):
Ac 0.0000 0.0000 0.0000  5 Zr 3.00-3.27, 6 W 3.27
Ac 0.6667 0.3333 0.3287  4 Zr 3.01-3.06, 1 Ac 3.19
Ac 0.6667 0.3333 0.6713  4 Zr 3.01-3.06, 1 Ac 3.19
Zr 0.0000 0.0000 0.3514  1 Zr 2.77, 3 Ac 3.01
Zr 0.0000 0.0000 0.6486  1 Zr 2.77, 3 Ac 3.01
Zr 0.6667 0.3333 0.0000  5 Ac 3.00-3.06, 6 W 3.27
W 0.3333 0.6667 0.1393  1 W 2.59
W 0.3333 0.6667 0.5000  6 Zr 3.31, 2 W 3.36, 6 Ac 3.40
W 0.3333 0.6667 0.8607  1 W 2.59

## Properties
For the theoretical density, the calculation gives 11.5 Mg/m³. The energy relative to the lowest polymorph listed for this composition comes out at 0.37 eV/f.u. The calculation puts the total magnetic moment at 0.01 μB per formula unit. The calculation puts the formation energy at 0.90 eV/atom. The calculation puts the calculated total energy at -7.642 eV/atom.

(20)
AcY | PBE-GGA | optimized geometry

abc: 5.2982 5.2982 5.2982
angles: 60.00 60.00 60.00
With the nearest neighbours (Å) after each atom.
Atoms (fractional coordinates):
Ac 0.0000 0.0000 0.0000  4 Y 3.24
Y 0.7500 0.7500 0.7500  4 Ac 3.24

## Properties
For the theoretical density, the calculation gives 5.0 Mg/m³. The energy relative to the lowest polymorph listed for this composition comes out at 3.40 eV/f.u. The calculation puts the total magnetic moment at 0.14 μB per formula unit. The calculation puts the formation energy at 1.78 eV/atom. The calculation puts the calculated total energy at -3.502 eV/atom.